Entry 1:
Entry from Alexandria via LeMat-Bulk: a geometry-optimized TlFe2Re structure (GGA-PBEsol).

CIF file:
```
data_TlFe2Re
_chemical_formula_sum 'Tl2 Fe4 Re2'
_space_group_name_H-M_alt 'C m m 2'
_space_group_IT_number 35
_cell_length_a 3.1113
_cell_length_b 4.5259
_cell_length_c 8.5890
_cell_angle_alpha 90.00
_cell_angle_beta 90.00
_cell_angle_gamma 90.00
loop_
_space_group_symop_operation_xyz
'x,y,z'
'-x,-y,z'
'-x,y,z'
'x,-y,z'
'x+1/2,y+1/2,z'
'-x+1/2,-y+1/2,z'
'-x+1/2,y+1/2,z'
'x+1/2,-y+1/2,z'
loop_
_atom_site_label
_atom_site_type_symbol
_atom_site_fract_x
_atom_site_fract_y
_atom_site_fract_z
Tl1 Tl 0.0000 0.0000 0.0000
Fe1 Fe 0.0000 0.0000 0.5197
Fe2 Fe 0.0000 0.5000 0.7291
Re1 Re 0.0000 0.5000 0.2943
```

Values from the calculation:
formation energy = 664 meV/atom
total magnetization = 5.1 μB/f.u.

Entry 2:
Entry from Alexandria via LeMat-Bulk: a geometry-optimized TlFeRe2 structure (GGA-PBEsol).

CIF file:
```
data_TlFeRe2
_chemical_formula_sum 'Tl2 Fe2 Re4'
_space_group_name_H-M_alt 'I m m 2'
_space_group_IT_number 44
_cell_length_a 3.2235
_cell_length_b 4.4169
_cell_length_c 8.5266
_cell_angle_alpha 90.00
_cell_angle_beta 90.00
_cell_angle_gamma 90.00
loop_
_space_group_symop_operation_xyz
'x,y,z'
'-x,-y,z'
'-x,y,z'
'x,-y,z'
'x+1/2,y+1/2,z+1/2'
'-x+1/2,-y+1/2,z+1/2'
'-x+1/2,y+1/2,z+1/2'
'x+1/2,-y+1/2,z+1/2'
loop_
_atom_site_label
_atom_site_type_symbol
_atom_site_fract_x
_atom_site_fract_y
_atom_site_fract_z
Tl1 Tl 0.0000 0.0000 0.0000
Fe1 Fe 0.0000 0.5000 0.7469
Re1 Re 0.0000 0.0000 0.4789
Re2 Re 0.0000 0.5000 0.2289
```

Values from the calculation:
formation energy = 773 meV/atom
total magnetization = 2.2 μB/f.u.
polymorph energy (0 for the lowest one) = 103 meV/atom

Entry 3:
Entry from Alexandria via LeMat-Bulk: a geometry-optimized FeRe2W structure (GGA-PBEsol).

CIF file:
```
data_FeRe2W
_chemical_formula_sum 'Fe2 Re4 W2'
_space_group_name_H-M_alt 'I 4/m m m'
_space_group_IT_number 139
_space_group_name_Hall '-I 4 2'
_cell_length_a 3.8092
_cell_length_b 3.8092
_cell_length_c 7.6707
_cell_angle_alpha 90.00
_cell_angle_beta 90.00
_cell_angle_gamma 90.00
loop_
_atom_site_label
_atom_site_type_symbol
_atom_site_fract_x
_atom_site_fract_y
_atom_site_fract_z
Fe1 Fe 0.0000 0.0000 0.0000
Re1 Re 0.0000 0.5000 0.2500
W1 W 0.0000 0.0000 0.5000
```

Values from the calculation:
formation energy = 155 meV/atom
total magnetization = 0.7 μB/f.u.

Entry 4:
Entry from Alexandria via LeMat-Bulk: a geometry-optimized FeReW2 structure (GGA-PBEsol).

CIF file:
```
data_FeReW2
_chemical_formula_sum 'Fe2 Re2 W4'
_space_group_name_H-M_alt 'C m m 2'
_space_group_IT_number 35
_cell_length_a 3.1337
_cell_length_b 4.3162
_cell_length_c 8.4963
_cell_angle_alpha 90.00
_cell_angle_beta 90.00
_cell_angle_gamma 90.00
loop_
_space_group_symop_operation_xyz
'x,y,z'
'-x,-y,z'
'-x,y,z'
'x,-y,z'
'x+1/2,y+1/2,z'
'-x+1/2,-y+1/2,z'
'-x+1/2,y+1/2,z'
'x+1/2,-y+1/2,z'
loop_
_atom_site_label
_atom_site_type_symbol
_atom_site_fract_x
_atom_site_fract_y
_atom_site_fract_z
Fe1 Fe 0.0000 0.0000 0.0000
Re1 Re 0.0000 0.5000 0.2349
W1 W 0.0000 0.0000 0.4951
W2 W 0.0000 0.5000 0.7607
```

Values from the calculation:
formation energy = 138 meV/atom
total magnetization = 2.1 μB/f.u.
polymorph energy (0 for the lowest one) = 0 meV/atom

Entry 5:
Entry from Alexandria via LeMat-Bulk: a geometry-optimized FeReW2 structure (GGA-PBEsol).

CIF file:
```
data_FeReW2
_chemical_formula_sum 'Fe1 Re1 W2'
_space_group_name_H-M_alt 'P 1 m 1'
_space_group_IT_number 6
_cell_length_a 2.6538
_cell_length_b 4.3483
_cell_length_c 5.0929
_cell_angle_alpha 90.00
_cell_angle_beta 99.67
_cell_angle_gamma 90.00
loop_
_space_group_symop_operation_xyz
'x,y,z'
'x,-y,z'
loop_
_atom_site_label
_atom_site_type_symbol
_atom_site_fract_x
_atom_site_fract_y
_atom_site_fract_z
Fe1 Fe 0.0000 0.0000 0.0000
Re1 Re 0.7495 0.5000 0.2523
W1 W 0.2446 0.5000 0.7643
W2 W 0.4973 0.0000 0.4977
```

Values from the calculation:
formation energy = 140 meV/atom
total magnetization = 2.5 μB/f.u.
polymorph energy (0 for the lowest one) = 2 meV/atom

Entry 6:
Entry from Alexandria via LeMat-Bulk: a geometry-optimized FeReW2 structure (GGA-PBEsol).

CIF file:
```
data_FeReW2
_chemical_formula_sum 'Fe4 Re4 W8'
_space_group_name_H-M_alt 'F -4 3 m'
_space_group_IT_number 216
_space_group_name_Hall 'F -4 2 3'
_cell_length_a 6.1278
_cell_length_b 6.1278
_cell_length_c 6.1278
_cell_angle_alpha 90.00
_cell_angle_beta 90.00
_cell_angle_gamma 90.00
loop_
_atom_site_label
_atom_site_type_symbol
_atom_site_fract_x
_atom_site_fract_y
_atom_site_fract_z
Fe1 Fe 0.0000 0.0000 0.0000
Re1 Re 0.2500 0.2500 0.7500
W1 W 0.0000 0.0000 0.5000
W2 W 0.2500 0.2500 0.2500
```

Values from the calculation:
formation energy = 175 meV/atom
total magnetization = 2.5 μB/f.u.
polymorph energy (0 for the lowest one) = 37 meV/atom

Entry 7:
Entry from Alexandria via LeMat-Bulk: a geometry-optimized FeReW2 structure (GGA-PBEsol).

CIF file:
```
data_FeReW2
_chemical_formula_sum 'Fe1 Re1 W2'
_space_group_name_H-M_alt 'P 4 m m'
_space_group_IT_number 99
_cell_length_a 2.6640
_cell_length_b 2.6640
_cell_length_c 7.9622
_cell_angle_alpha 90.00
_cell_angle_beta 90.00
_cell_angle_gamma 90.00
loop_
_space_group_symop_operation_xyz
'x,y,z'
'-y,x,z'
'-x,-y,z'
'y,-x,z'
'-x,y,z'
'y,x,z'
'x,-y,z'
'-y,-x,z'
loop_
_atom_site_label
_atom_site_type_symbol
_atom_site_fract_x
_atom_site_fract_y
_atom_site_fract_z
Fe1 Fe 0.0000 0.0000 0.0000
Re1 Re 0.5000 0.5000 0.2064
W1 W 0.0000 0.0000 0.4828
W2 W 0.5000 0.5000 0.7670
```

Values from the calculation:
formation energy = 152 meV/atom
total magnetization = 0.0 μB/f.u.
polymorph energy (0 for the lowest one) = 14 meV/atom

Entry 8:
Entry from Alexandria via LeMat-Bulk: a geometry-optimized FeReW structure (GGA-PBEsol).

CIF file:
```
data_FeReW
_chemical_formula_sum 'Fe1 Re1 W1'
_space_group_name_H-M_alt 'P 3 m 1'
_space_group_IT_number 156
_cell_length_a 4.3079
_cell_length_b 4.3079
_cell_length_c 2.6207
_cell_angle_alpha 90.00
_cell_angle_beta 90.00
_cell_angle_gamma 120.00
loop_
_space_group_symop_operation_xyz
'x,y,z'
'-y,x-y,z'
'-x+y,-x,z'
'-y,-x,z'
'-x+y,y,z'
'x,x-y,z'
loop_
_atom_site_label
_atom_site_type_symbol
_atom_site_fract_x
_atom_site_fract_y
_atom_site_fract_z
Fe1 Fe 0.0000 0.0000 0.0000
Re1 Re 0.3333 0.6667 0.6624
W1 W 0.6667 0.3333 0.3299
```

Values from the calculation:
formation energy = 105 meV/atom
total magnetization = 2.7 μB/f.u.

Entry 9:
Entry from Alexandria via LeMat-Bulk: a geometry-optimized FeRe2W structure (GGA-PBEsol).

CIF file:
```
data_FeRe2W
_chemical_formula_sum 'Fe1 Re2 W1'
_space_group_name_H-M_alt 'P 4/m m m'
_space_group_IT_number 123
_space_group_name_Hall '-P 4 2'
_cell_length_a 2.6735
_cell_length_b 2.6735
_cell_length_c 7.7236
_cell_angle_alpha 90.00
_cell_angle_beta 90.00
_cell_angle_gamma 90.00
loop_
_atom_site_label
_atom_site_type_symbol
_atom_site_fract_x
_atom_site_fract_y
_atom_site_fract_z
Fe1 Fe 0.0000 0.0000 0.0000
Re1 Re 0.5000 0.5000 0.2218
W1 W 0.0000 0.0000 0.5000
```

Values from the calculation:
formation energy = 140 meV/atom
total magnetization = 0.3 μB/f.u.

Entry 10:
Entry from Alexandria via LeMat-Bulk: a geometry-optimized YFe2Re structure (GGA-PBEsol).

CIF file:
```
data_YFe2Re
_chemical_formula_sum 'Y3 Fe6 Re3'
_space_group_name_H-M_alt 'R 3 m'
_space_group_IT_number 160
_space_group_name_Hall 'R 3 -2"'
_cell_length_a 2.8127
_cell_length_b 2.8127
_cell_length_c 26.6666
_cell_angle_alpha 90.00
_cell_angle_beta 90.00
_cell_angle_gamma 120.00
loop_
_atom_site_label
_atom_site_type_symbol
_atom_site_fract_x
_atom_site_fract_y
_atom_site_fract_z
Y1 Y 0.0000 0.0000 0.0000
Fe1 Fe 0.0000 0.0000 0.4932
Fe2 Fe 0.0000 0.0000 0.7592
Re1 Re 0.0000 0.0000 0.2332
```

Values from the calculation:
formation energy = 562 meV/atom
total magnetization = 4.5 μB/f.u.

Entry 11:
Entry from Alexandria via LeMat-Bulk: a geometry-optimized Y2FeRe structure (GGA-PBEsol).

CIF file:
```
data_Y2FeRe
_chemical_formula_sum 'Y2 Fe1 Re1'
_space_group_name_H-M_alt 'P 4 m m'
_space_group_IT_number 99
_cell_length_a 3.0486
_cell_length_b 3.0486
_cell_length_c 8.5514
_cell_angle_alpha 90.00
_cell_angle_beta 90.00
_cell_angle_gamma 90.00
loop_
_space_group_symop_operation_xyz
'x,y,z'
'-y,x,z'
'-x,-y,z'
'y,-x,z'
'-x,y,z'
'y,x,z'
'x,-y,z'
'-y,-x,z'
loop_
_atom_site_label
_atom_site_type_symbol
_atom_site_fract_x
_atom_site_fract_y
_atom_site_fract_z
Y1 Y 0.0000 0.0000 0.0000
Y2 Y 0.5000 0.5000 0.3766
Fe1 Fe 0.0000 0.0000 0.6107
Re1 Re 0.5000 0.5000 0.7535
```

Values from the calculation:
formation energy = 170 meV/atom
total magnetization = 0.7 μB/f.u.

Entry 12:
Entry from Alexandria via LeMat-Bulk: a geometry-optimized ZnFe2Re structure (GGA-PBEsol).

CIF file:
```
data_ZnFe2Re
_chemical_formula_sum 'Zn1 Fe2 Re1'
_space_group_name_H-M_alt 'P 4/m m m'
_space_group_IT_number 123
_space_group_name_Hall '-P 4 2'
_cell_length_a 2.6482
_cell_length_b 2.6482
_cell_length_c 6.8697
_cell_angle_alpha 90.00
_cell_angle_beta 90.00
_cell_angle_gamma 90.00
loop_
_atom_site_label
_atom_site_type_symbol
_atom_site_fract_x
_atom_site_fract_y
_atom_site_fract_z
Zn1 Zn 0.0000 0.0000 0.0000
Fe1 Fe 0.5000 0.5000 0.2483
Re1 Re 0.0000 0.0000 0.5000
```

Values from the calculation:
formation energy = 49 meV/atom
total magnetization = 2.1 μB/f.u.

Entry 13:
Entry from Alexandria via LeMat-Bulk: a geometry-optimized ZnFeRe2 structure (GGA-PBEsol).

CIF file:
```
data_ZnFeRe2
_chemical_formula_sum 'Zn2 Fe2 Re4'
_space_group_name_H-M_alt 'I m m 2'
_space_group_IT_number 44
_cell_length_a 3.1577
_cell_length_b 4.1372
_cell_length_c 8.0751
_cell_angle_alpha 90.00
_cell_angle_beta 90.00
_cell_angle_gamma 90.00
loop_
_space_group_symop_operation_xyz
'x,y,z'
'-x,-y,z'
'-x,y,z'
'x,-y,z'
'x+1/2,y+1/2,z+1/2'
'-x+1/2,-y+1/2,z+1/2'
'-x+1/2,y+1/2,z+1/2'
'x+1/2,-y+1/2,z+1/2'
loop_
_atom_site_label
_atom_site_type_symbol
_atom_site_fract_x
_atom_site_fract_y
_atom_site_fract_z
Zn1 Zn 0.0000 0.0000 0.0000
Fe1 Fe 0.0000 0.5000 0.7373
Re1 Re 0.0000 0.0000 0.4807
Re2 Re 0.0000 0.5000 0.2369
```

Values from the calculation:
formation energy = 189 meV/atom
total magnetization = 2.0 μB/f.u.

Entry 14:
Entry from Alexandria via LeMat-Bulk: a geometry-optimized ZnFeRe2 structure (GGA-PBEsol).

CIF file:
```
data_ZnFeRe2
_chemical_formula_sum 'Zn2 Fe2 Re4'
_space_group_name_H-M_alt 'C 1 m 1'
_space_group_IT_number 8
_cell_length_a 8.9391
_cell_length_b 2.6436
_cell_length_c 4.5616
_cell_angle_alpha 90.00
_cell_angle_beta 100.98
_cell_angle_gamma 90.00
loop_
_space_group_symop_operation_xyz
'x,y,z'
'x,-y,z'
'x+1/2,y+1/2,z'
'x+1/2,-y+1/2,z'
loop_
_atom_site_label
_atom_site_type_symbol
_atom_site_fract_x
_atom_site_fract_y
_atom_site_fract_z
Zn1 Zn 0.0000 0.0000 0.0000
Fe1 Fe 0.2480 0.0000 0.7711
Re1 Re 0.0197 0.5000 0.5149
Re2 Re 0.2617 0.5000 0.2758
```

Values from the calculation:
formation energy = 230 meV/atom
total magnetization = 0.6 μB/f.u.

Entry 15:
Entry from Alexandria via LeMat-Bulk: a geometry-optimized ZnFeRe2 structure (GGA-PBEsol).

CIF file:
```
data_ZnFeRe2
_chemical_formula_sum 'Zn2 Fe2 Re4'
_space_group_name_H-M_alt 'C m m m'
_space_group_IT_number 65
_space_group_name_Hall '-C 2 2'
_cell_length_a 5.1788
_cell_length_b 7.8695
_cell_length_c 2.6171
_cell_angle_alpha 90.00
_cell_angle_beta 90.00
_cell_angle_gamma 90.00
loop_
_atom_site_label
_atom_site_type_symbol
_atom_site_fract_x
_atom_site_fract_y
_atom_site_fract_z
Zn1 Zn 0.0000 0.0000 0.0000
Fe1 Fe 0.0000 0.5000 0.0000
Re1 Re 0.2500 0.2500 0.5000
```

Values from the calculation:
formation energy = 315 meV/atom
total magnetization = 1.8 μB/f.u.

Entry 16:
Entry from Alexandria via LeMat-Bulk: a geometry-optimized ZrFeRe2 structure (GGA-PBEsol).

CIF file:
```
data_ZrFeRe2
_chemical_formula_sum 'Zr2 Fe2 Re4'
_space_group_name_H-M_alt 'I m m 2'
_space_group_IT_number 44
_cell_length_a 3.1368
_cell_length_b 4.4446
_cell_length_c 8.7227
_cell_angle_alpha 90.00
_cell_angle_beta 90.00
_cell_angle_gamma 90.00
loop_
_space_group_symop_operation_xyz
'x,y,z'
'-x,-y,z'
'-x,y,z'
'x,-y,z'
'x+1/2,y+1/2,z+1/2'
'-x+1/2,-y+1/2,z+1/2'
'-x+1/2,y+1/2,z+1/2'
'x+1/2,-y+1/2,z+1/2'
loop_
_atom_site_label
_atom_site_type_symbol
_atom_site_fract_x
_atom_site_fract_y
_atom_site_fract_z
Zr1 Zr 0.0000 0.0000 0.0000
Fe1 Fe 0.0000 0.5000 0.2412
Re1 Re 0.0000 0.0000 0.5000
Re2 Re 0.0000 0.5000 0.7616
```

Values from the calculation:
formation energy = 69 meV/atom
total magnetization = 2.2 μB/f.u.